VASP calculation (GGA-PBE) on a relaxed structure of TaCd2Fe2.

Unit cell a=6.2377 b=6.2377 c=4.3041 alpha=90.00 beta=90.00 gamma=90.00
With the nearest neighbours (Å) after each atom.
Space group P4/mbm (No. 127)
One atom of each set of equivalent atoms:
Ta (0.0000, 0.0000, 0.0000) x2  4 Fe 2.46
Cd (0.1744, 0.3256, 0.5000) x4  6 Fe 2.78-2.87, 1 Cd 3.08
Fe (0.1266, 0.6266, 0.0000) x4  1 Fe 2.23, 2 Ta 2.46

## Properties
E above lowest polymorph   0.00 eV/f.u.
V   167.5 Å³ per cell
Size of the total moment   5.67 μB/cell
Energy of formation   0.422 eV per atom

=====

VASP calculation (GGA-PBE) on a relaxed structure of Pm3CuO6.

Unit cell a=9.1559 b=11.4469 c=5.6445 alpha=90.00 beta=90.00 gamma=90.00
With the nearest neighbours (Å) after each atom.
Space group Cmc2_1 (No. 36)
One atom of each set of equivalent atoms:
Pm (0.0000, 0.1038, 0.0000) x4  7 O 2.35-2.53
Pm (0.1934, 0.3937, 0.0451) x8  6 O 2.30-2.54
Cu (0.0000, 0.3124, 0.5707) x4  4 O 1.89-1.96
O (0.0000, 0.2847, 0.2405) x4  1 Cu 1.89
O (0.0000, 0.4585, 0.7509) x4  1 Cu 1.96
O (0.1546, 0.2409, 0.7544) x8  1 Cu 1.94
O (0.1594, 0.0133, 0.2753) x8  4 Pm 2.30-2.37

## Properties
V   591.6 Å³ per cell
Size of the total moment   8.01 μB/cell
Calculated total energy   -7.435 eV per atom

=====

VASP calculation (GGA-PBE) on a relaxed structure of Pm2HoSe4.

Unit cell a=8.2719 b=8.3353 c=11.5295 alpha=90.00 beta=90.00 gamma=90.00
With the nearest neighbours (Å) after each atom.
Space group Imma (No. 74)
One atom of each set of equivalent atoms:
Pm (0.0000, 0.0000, 0.0000) x4  6 Se 2.94-2.97
Pm (0.2500, 0.2500, 0.2500) x4  6 Se 2.93-2.98
Ho (0.2500, 0.2500, 0.7500) x4  6 Se 2.84-2.89
Se (0.0000, 0.0072, 0.7425) x8  2 Ho 2.89, 3 Pm 2.97-2.98
Se (0.2495, 0.2500, 0.5037) x8  1 Ho 2.84, 3 Pm 2.93-2.94

## Properties
E above lowest polymorph   0.00 eV/f.u.
V   794.9 Å³ per cell
Size of the total moment   0.00 μB/cell

=====

VASP calculation (GGA-PBE) on a relaxed structure of EuDyMgGa.

Unit cell a=7.4907 b=7.4907 c=7.4907 alpha=90.00 beta=90.00 gamma=90.00
With the nearest neighbours (Å) after each atom.
Space group F-43m (No. 216)
One atom of each set of equivalent atoms:
Eu (0.0000, 0.0000, 0.0000) x4  4 Mg 3.24, 4 Ga 3.24
Dy (0.0000, 0.0000, 0.5000) x4  4 Ga 3.24, 4 Mg 3.24
Mg (0.2500, 0.2500, 0.2500) x4  4 Dy 3.24, 4 Eu 3.24
Ga (0.2500, 0.2500, 0.7500) x4  4 Eu 3.24, 4 Dy 3.24

## Properties
V   420.3 Å³ per cell
Size of the total moment   29.40 μB/cell
Energy of formation   -0.279 eV per atom

=====

VASP calculation (GGA-PBE) on a relaxed structure of BaCrFe2.

Unit cell a=3.1598 b=3.1598 c=7.5292 alpha=90.00 beta=90.00 gamma=90.00
With the nearest neighbours (Å) after each atom.
Space group P4/mmm (No. 123)
One atom of each set of equivalent atoms:
Ba (0.0000, 0.0000, 0.0000) x1  4 Ba 3.16, 8 Fe 3.45
Cr (0.0000, 0.0000, 0.5000) x1  8 Fe 2.50
Fe (0.5000, 0.5000, 0.3496) x2  1 Fe 2.26, 4 Cr 2.50

## Properties
E above lowest polymorph   0.64 eV/f.u.
V   75.2 Å³ per cell
Size of the total moment   2.59 μB/cell
Energy of formation   0.653 eV per atom

=====

VASP calculation (GGA-PBE) on a relaxed structure of Y6ErSc3.

Unit cell a=10.8968 b=4.9425 c=11.0227 alpha=90.00 beta=90.88 gamma=90.00
With the nearest neighbours (Å) after each atom.
Space group P2_1/m (No. 11)
One atom of each set of equivalent atoms:
Y (0.0458, 0.2500, 0.4001) x2  7 Sc 3.41-3.47, 5 Y 3.47-3.50
Y (0.1407, 0.7500, 0.1971) x2  5 Sc 3.38-3.50, 6 Y 3.50-3.52, 1 Er 3.56
Y (0.2398, 0.2500, 0.9938) x2  4 Sc 3.39-3.42, 5 Y 3.49-3.54, 3 Er 3.54-3.55
Y (0.3412, 0.7500, 0.7949) x2  4 Sc 3.39-3.41, 5 Y 3.49-3.56, 3 Er 3.53-3.55
Y (0.3474, 0.2500, 0.2982) x2  8 Y 3.46-3.56, 2 Sc 3.50, 2 Er 3.51
Y (0.4460, 0.2500, 0.5985) x2  4 Sc 3.41-3.52, 7 Y 3.46-3.52, 1 Er 3.52
Er (0.4500, 0.7500, 0.0979) x2  2 Er 3.47, 10 Y 3.51-3.56
Sc (0.0494, 0.7500, 0.8975) x2  8 Y 3.38-3.43, 4 Sc 3.52-3.53
Sc (0.1500, 0.2500, 0.6947) x2  8 Y 3.40-3.42, 4 Sc 3.47-3.52
Sc (0.2479, 0.7500, 0.4982) x2  10 Y 3.41-3.52, 2 Sc 3.47

## Properties
E above lowest polymorph   0.00 eV/f.u.
V   593.6 Å³ per cell
Size of the total moment   0.00 μB/cell
Energy of formation   0.052 eV per atom

=====

VASP calculation (GGA-PBE) on a relaxed structure of SiNiIr2.

Unit cell a=3.7141 b=3.7141 c=7.6278 alpha=90.00 beta=90.00 gamma=90.00
With the nearest neighbours (Å) after each atom.
Space group I-4m2 (No. 119)
One atom of each set of equivalent atoms:
Si (0.0000, 0.0000, 0.0000) x2  8 Ir 2.63-2.66, 4 Ni 2.66
Ni (0.0000, 0.5000, 0.2500) x2  8 Ir 2.63-2.66, 4 Si 2.66
Ir (0.0000, 0.0000, 0.5000) x2  4 Si 2.63, 4 Ni 2.66, 4 Ir 2.66
Ir (0.0000, 0.5000, 0.7500) x2  4 Ni 2.63, 4 Si 2.66, 4 Ir 2.66

## Properties
V   105.2 Å³ per cell
Size of the total moment   0.00 μB/cell
Calculated total energy   -7.385 eV per atom

=====

VASP calculation (GGA-PBE) on a relaxed structure of RbCoPbBr5.

Unit cell a=9.7779 b=12.9586 c=10.6992 alpha=90.00 beta=114.48 gamma=90.00
With the nearest neighbours (Å) after each atom.
Space group C2/c (No. 15)
One atom of each set of equivalent atoms:
Rb (0.0000, 0.1455, 0.2500) x4  5 Br 3.35-3.51
Co (0.0000, 0.1855, 0.7500) x4  4 Br 2.41-2.42
Pb (0.0000, 0.5000, 0.0000) x4  6 Br 2.95-3.13
Br (0.0000, 0.4039, 0.2500) x4  2 Pb 2.95
Br (0.1193, 0.2875, 0.6352) x8  1 Co 2.41
Br (0.1727, 0.0768, 0.9296) x8  1 Co 2.42

## Properties
V   1233.8 Å³ per cell
Size of the total moment   12.00 μB/cell
Calculated total energy   -3.409 eV per atom

=====

VASP calculation (GGA-PBE) on a relaxed structure of Ce3Th2Pb3.

Unit cell a=4.5475 b=5.0381 c=21.3311 alpha=90.00 beta=90.00 gamma=90.00
With the nearest neighbours (Å) after each atom.
Space group Immm (No. 71)
One atom of each set of equivalent atoms:
Ce (0.0000, 0.0000, 0.0000) x2  8 Pb 3.39-3.59, 4 Ce 3.54
Ce (0.0000, 0.5000, 0.1165) x4  6 Pb 3.37-3.41, 2 Ce 3.54, 4 Th 3.70-3.75
Th (0.0000, 0.0000, 0.2469) x4  4 Pb 3.37-3.64, 4 Th 3.40, 4 Ce 3.70-3.75
Pb (0.0000, 0.0000, 0.5000) x2  8 Ce 3.37-3.39, 4 Pb 3.75
Pb (0.0000, 0.5000, 0.3698) x4  4 Th 3.37-3.64, 6 Ce 3.41-3.59, 2 Pb 3.75

## Properties
V   488.7 Å³ per cell
Size of the total moment   7.02 μB/cell
Energy of formation   -0.250 eV per atom

=====

VASP calculation (GGA-PBE) on a relaxed structure of Be2SiMoW.

Unit cell a=4.1986 b=4.1986 c=4.8282 alpha=90.00 beta=90.00 gamma=90.00
With the nearest neighbours (Å) after each atom.
Space group P4/mmm (No. 123)
One atom of each set of equivalent atoms:
Be (0.0000, 0.5000, 0.0000) x2  2 Mo 2.10
Si (0.0000, 0.0000, 0.5000) x1  4 W 2.97, 8 Be 3.20
Mo (0.5000, 0.5000, 0.0000) x1  4 Be 2.10
W (0.5000, 0.5000, 0.5000) x1  2 Mo 2.41

## Properties
V   85.1 Å³ per cell
Size of the total moment   0.00 μB/cell
Calculated total energy   -5.686 eV per atom